(1)
Entry from Alexandria via LeMat-Bulk: a relaxed structure of P2IrSCl (GGA-PBE).

Summary:
D(E_F), states/eV per atom: 1.318
Offset from the most stable computed form, meV/atom: 0
Energy relative to the elements, uncorrected, kJ per mole of atoms: 65
Total moment, μB/cell: 1.305

a b c (Å): 4.603 4.603 4.863
angles (deg): 90.00 90.00 90.00
Positions (direct):
S 0.000 0.000 0.500
P 0.500 0.000 0.000
P 0.000 0.500 0.000
Cl 0.500 0.500 0.500
Ir 0.000 0.000 0.000


(2)
Entry from Alexandria via LeMat-Bulk: a relaxed structure of P2IrSCl (GGA-PBE).

Summary:
D(E_F), states/eV per atom: 1.063
Offset from the most stable computed form, meV/atom: 691
Energy relative to the elements, uncorrected, kJ per mole of atoms: 132
Total moment, μB/cell: 0.000

a b c (Å): 4.555 4.555 4.217
angles (deg): 90.00 90.00 90.00
Positions (direct):
P 0.500 0.000 0.000
P 0.000 0.500 0.000
Cl 0.000 0.000 0.500
Ir 0.500 0.500 0.500
S 0.000 0.000 0.000


(3)
Entry from Alexandria via LeMat-Bulk: a relaxed structure of SbP2IrCl (GGA-PBE).

Summary:
D(E_F), states/eV per atom: 1.629
Offset from the most stable computed form, meV/atom: 1150
Energy relative to the elements, uncorrected, kJ per mole of atoms: 155
Total moment, μB/cell: 0.825

a b c (Å): 5.043 5.043 4.827
angles (deg): 90.00 90.00 90.00
Positions (direct):
P 0.000 0.500 0.000
P 0.500 0.000 0.000
Ir 0.500 0.500 0.500
Cl 0.000 0.000 0.500
Sb 0.000 0.000 0.000


(4)
Entry from Alexandria via LeMat-Bulk: a relaxed structure of SbPIrCl2 (GGA-PBE).

Summary:
D(E_F), states/eV per atom: 1.933
Offset from the most stable computed form, meV/atom: 861
Energy relative to the elements, uncorrected, kJ per mole of atoms: 118
Total moment, μB/cell: 1.938

a b c (Å): 4.980 4.980 5.585
angles (deg): 90.00 90.00 90.00
Positions (direct):
P 0.000 0.000 0.500
Sb 0.000 0.000 0.000
Cl 0.000 0.500 0.000
Cl 0.500 0.000 0.000
Ir 0.500 0.500 0.500